Computed, not measured: an optimized crystal structure of Pr3O at the GGA-PBE level of DFT.

Cell and atoms, written as CIF:
```
data_Pr3O
_chemical_formula_sum 'Pr3 O1'
_symmetry_space_group_name_H-M 'P 1'
_symmetry_Int_Tables_number 1
_cell_length_a 3.432
_cell_length_b 3.457
_cell_length_c 9.769
_cell_angle_alpha 90.00
_cell_angle_beta 90.00
_cell_angle_gamma 90.00
loop_
_symmetry_equiv_pos_as_xyz
'x,y,z'
loop_
_atom_site_label
_atom_site_fract_x
_atom_site_fract_y
_atom_site_fract_z
_atom_site_occupancy
O1 0.000 0.000 0.049 1
Pr1 0.500 0.500 0.085 1
Pr2 0.000 0.500 0.460 1
Pr3 0.500 0.000 0.739 1
```

Calculated density (kg/m³): 6286
Formation energy without anion corrections (kJ per mole of atoms): -102.31
Distance to the lowest polymorph of the same formula (meV/atom): 0
Space group: Pmm2
Total moment (μB/cell): 0.000
Crystal system: orthorhombic